An optimized crystal structure of Hf8RuN2. Source: the Alexandria database, functional PBE-GGA.

## Properties
ρ ... 11.86 Mg/m³
Electronic total energy ... -10.044 eV per atom
Crystal system ... monoclinic
DOS at the Fermi energy ... 0.683 states/eV per atom

Geometry as POSCAR:
```
Hf8RuN2
1.0
6.137 -3.162 0.000
6.137 3.162 0.000
-1.118 0.000 5.615
Hf Ru N
8 1 2
Cartesian
0.878 0.000 3.981
4.083 1.594 4.348
3.634 0.000 1.221
7.073 1.594 1.267
4.083 -1.594 4.348
7.522 0.000 4.394
7.073 -1.594 1.267
10.278 0.000 1.634
5.578 0.000 2.807
2.800 0.000 4.764
8.356 0.000 0.851
```